# 1
RbTl3C at its PBEsol-relaxed geometry, computed with SCAN.

Total DFT energy (no corrections)   -47.537 eV/atom
Theoretical density   4.56 Mg/m³
ΔH_f (0 K)   2.05 eV per atom
Crystal system   cubic
Total magnetization   1.582 μB per cell

```
data_RbTl3C
_cell_length_a 6.374
_cell_length_b 6.374
_cell_length_c 6.374
_cell_angle_alpha 90.00
_cell_angle_beta 90.00
_cell_angle_gamma 90.00
_symmetry_space_group_name_H-M 'P m -3 m'
_symmetry_Int_Tables_number 221
_symmetry_space_group_name_Hall '-P 4 2 3'
loop_
_atom_site_label
_atom_site_fract_x
_atom_site_fract_y
_atom_site_fract_z
Rb1 0.000 0.000 0.000
Tl1 0.000 0.000 0.500
C1 0.500 0.500 0.500
```

***

# 2
PbBr2 at its PBEsol-relaxed geometry, computed with SCAN.

Total DFT energy (no corrections)   -39.174 eV/atom
Theoretical density   6.88 Mg/m³
Crystal system   orthorhombic
Total magnetization   0.000 μB per cell
E_form (uncorrected)   -0.9408 eV per atom

```
data_PbBr2
_cell_length_a 7.904
_cell_length_b 4.678
_cell_length_c 9.580
_cell_angle_alpha 90.00
_cell_angle_beta 90.00
_cell_angle_gamma 90.00
_symmetry_space_group_name_H-M 'P n m a'
_symmetry_Int_Tables_number 62
_symmetry_space_group_name_Hall '-P 2ac 2n'
loop_
_atom_site_label
_atom_site_fract_x
_atom_site_fract_y
_atom_site_fract_z
Pb1 0.234 0.250 0.089
Br1 0.014 0.250 0.839
Br2 0.141 0.250 0.417
```

***

# 3
TlRe2Au at its PBEsol-relaxed geometry, computed with SCAN.

Total DFT energy (no corrections)   -70.087 eV/atom
Theoretical density   19.10 Mg/m³
ΔH_f (0 K)   0.84 eV per atom
Crystal system   monoclinic
Total magnetization   0.000 μB per cell

```
data_TlRe2Au
_cell_length_a 9.282
_cell_length_b 2.905
_cell_length_c 5.088
_cell_angle_alpha 90.00
_cell_angle_beta 101.29
_cell_angle_gamma 90.00
_symmetry_space_group_name_H-M 'C 1 2/m 1'
_symmetry_Int_Tables_number 12
_symmetry_space_group_name_Hall '-C 2y'
loop_
_atom_site_label
_atom_site_fract_x
_atom_site_fract_y
_atom_site_fract_z
Tl1 0.000 0.000 0.000
Re1 0.249 0.000 0.718
Au1 0.000 0.500 0.500
```

***

# 4
KErS2O8 at its PBEsol-relaxed geometry, computed with SCAN.

Total DFT energy (no corrections)   -13.018 eV/atom
Theoretical density   4.22 Mg/m³
Crystal system   monoclinic
Total magnetization   0.000 μB per cell
E_form (uncorrected)   -2.3699 eV per atom

```
data_KErS2O8
_cell_length_a 5.420
_cell_length_b 13.255
_cell_length_c 10.015
_cell_angle_alpha 90.00
_cell_angle_beta 119.32
_cell_angle_gamma 90.00
_symmetry_space_group_name_H-M 'P 1 21/c 1'
_symmetry_Int_Tables_number 14
_symmetry_space_group_name_Hall '-P 2ybc'
loop_
_atom_site_label
_atom_site_fract_x
_atom_site_fract_y
_atom_site_fract_z
K1 0.087 0.088 0.341
Er1 0.411 0.650 0.691
S1 0.141 0.662 0.891
S2 0.323 0.116 0.078
O1 0.019 0.099 0.973
O2 0.087 0.733 0.766
O3 0.116 0.101 0.646
O4 0.240 0.710 0.041
O5 0.357 0.213 0.159
O6 0.367 0.592 0.899
O7 0.438 0.033 0.191
O8 0.477 0.121 0.991
```

***

# 5
Li2AlIr at its PBEsol-relaxed geometry, computed with SCAN.

Total DFT energy (no corrections)   -21.393 eV/atom
Theoretical density   6.87 Mg/m³
ΔH_f (0 K)   -0.49 eV per atom
Crystal system   tetragonal
Total magnetization   0.000 μB per cell

```
data_Li2AlIr
_cell_length_a 3.048
_cell_length_b 3.048
_cell_length_c 6.067
_cell_angle_alpha 90.00
_cell_angle_beta 90.00
_cell_angle_gamma 90.00
_symmetry_space_group_name_H-M 'P 4 m m'
_symmetry_Int_Tables_number 99
_symmetry_space_group_name_Hall 'P 4 -2'
loop_
_atom_site_label
_atom_site_fract_x
_atom_site_fract_y
_atom_site_fract_z
Li1 0.000 0.000 0.000
Li2 0.500 0.500 0.263
Al1 0.000 0.000 0.555
Ir1 0.500 0.500 0.761
```

***

# 6
Zr2ScNi at its PBEsol-relaxed geometry, computed with SCAN.

Total DFT energy (no corrections)   -23.160 eV/atom
Theoretical density   6.26 Mg/m³
ΔH_f (0 K)   -0.21 eV per atom
Crystal system   tetragonal
Total magnetization   0.477 μB per cell

```
data_Zr2ScNi
_cell_length_a 3.191
_cell_length_b 3.191
_cell_length_c 7.459
_cell_angle_alpha 90.00
_cell_angle_beta 90.00
_cell_angle_gamma 90.00
_symmetry_space_group_name_H-M 'P 4 m m'
_symmetry_Int_Tables_number 99
_symmetry_space_group_name_Hall 'P 4 -2'
loop_
_atom_site_label
_atom_site_fract_x
_atom_site_fract_y
_atom_site_fract_z
Zr1 0.000 0.000 0.000
Zr2 0.500 0.500 0.284
Sc1 0.000 0.000 0.584
Ni1 0.500 0.500 0.798
```

***

# 7
CdP4Br at its PBEsol-relaxed geometry, computed with SCAN.

Total DFT energy (no corrections)   -15.026 eV/atom
Theoretical density   3.95 Mg/m³
Crystal system   cubic
Total magnetization   0.002 μB per cell
E_form (uncorrected)   0.2183 eV per atom

```
data_CdP4Br
_cell_length_a 8.102
_cell_length_b 8.102
_cell_length_c 8.102
_cell_angle_alpha 90.00
_cell_angle_beta 90.00
_cell_angle_gamma 90.00
_symmetry_space_group_name_H-M 'F -4 3 m'
_symmetry_Int_Tables_number 216
_symmetry_space_group_name_Hall 'F -4 2 3'
loop_
_atom_site_label
_atom_site_fract_x
_atom_site_fract_y
_atom_site_fract_z
Cd1 0.000 0.000 0.000
P1 0.097 0.097 0.597
Br1 0.250 0.250 0.250
```

***

# 8
ZnNiOs2 at its PBEsol-relaxed geometry, computed with SCAN.

Total DFT energy (no corrections)   -43.004 eV/atom
Theoretical density   15.79 Mg/m³
ΔH_f (0 K)   0.36 eV per atom
Crystal system   monoclinic
Total magnetization   0.001 μB per cell

```
data_ZnNiOs2
_cell_length_a 5.196
_cell_length_b 8.740
_cell_length_c 2.614
_cell_angle_alpha 90.00
_cell_angle_beta 116.60
_cell_angle_gamma 90.00
_symmetry_space_group_name_H-M 'C 1 2/m 1'
_symmetry_Int_Tables_number 12
_symmetry_space_group_name_Hall '-C 2y'
loop_
_atom_site_label
_atom_site_fract_x
_atom_site_fract_y
_atom_site_fract_z
Zn1 0.000 0.000 0.000
Ni1 0.000 0.500 0.000
Os1 0.250 0.250 0.500
```

***

# 9
SbH3NF6 at its PBEsol-relaxed geometry, computed with SCAN.

Total DFT energy (no corrections)   -8.860 eV/atom
Theoretical density   3.52 Mg/m³
Crystal system   monoclinic
Total magnetization   0.979 μB per cell

```
data_SbH3NF6
_cell_length_a 7.365
_cell_length_b 12.162
_cell_length_c 10.667
_cell_angle_alpha 90.00
_cell_angle_beta 92.75
_cell_angle_gamma 90.00
_symmetry_space_group_name_H-M 'C 1 2/c 1'
_symmetry_Int_Tables_number 15
_symmetry_space_group_name_Hall '-C 2yc'
loop_
_atom_site_label
_atom_site_fract_x
_atom_site_fract_y
_atom_site_fract_z
Sb1 0.000 0.000 0.000
Sb2 0.000 0.348 0.250
H1 0.017 0.252 0.651
H2 0.103 0.373 0.862
H3 0.129 0.376 0.663
N1 0.010 0.334 0.683
F1 0.026 0.115 0.622
F2 0.076 0.344 0.424
F3 0.114 0.094 0.386
F4 0.166 0.464 0.218
F5 0.184 0.245 0.214
F6 0.232 0.060 0.051
```

***

# 10
BeHgN2 at its PBEsol-relaxed geometry, computed with SCAN.

Total DFT energy (no corrections)   -21.890 eV/atom
Theoretical density   9.07 Mg/m³
Crystal system   trigonal
Total magnetization   6.012 μB per cell
E_form (uncorrected)   0.8856 eV per atom

```
data_BeHgN2
_cell_length_a 2.9067
_cell_length_b 2.9067
_cell_length_c 17.8439
_cell_angle_alpha 90.00
_cell_angle_beta 90.00
_cell_angle_gamma 120.00
_symmetry_space_group_name_H-M 'R -3 m'
_symmetry_Int_Tables_number 166
_symmetry_space_group_name_Hall '-R 3 2"'
loop_
_atom_site_label
_atom_site_fract_x
_atom_site_fract_y
_atom_site_fract_z
Be1 0.0000 0.0000 0.0000
Hg1 0.0000 0.0000 0.5000
N1 0.0000 0.0000 0.3822
```

***

# 11
BaSr5 at its PBEsol-relaxed geometry, computed with SCAN.

Total DFT energy (no corrections)   -25.084 eV/atom
Theoretical density   2.86 Mg/m³
ΔH_f (0 K)   0.07 eV per atom
Crystal system   cubic
Total magnetization   0.167 μB per cell

```
data_BaSr5
_cell_length_a 11.021
_cell_length_b 11.021
_cell_length_c 11.021
_cell_angle_alpha 90.00
_cell_angle_beta 90.00
_cell_angle_gamma 90.00
_symmetry_space_group_name_H-M 'F -4 3 m'
_symmetry_Int_Tables_number 216
_symmetry_space_group_name_Hall 'F -4 2 3'
loop_
_atom_site_label
_atom_site_fract_x
_atom_site_fract_y
_atom_site_fract_z
Ba1 0.000 0.000 0.000
Sr1 0.125 0.125 0.625
Sr2 0.250 0.250 0.250
```

***

# 12
TcCl at its PBEsol-relaxed geometry, computed with SCAN.

Total DFT energy (no corrections)   -21.732 eV/atom
Theoretical density   6.73 Mg/m³
Crystal system   trigonal
Total magnetization   0.000 μB per cell
E_form (uncorrected)   -0.2126 eV per atom

```
data_TcCl
_cell_length_a 2.9747
_cell_length_b 2.9747
_cell_length_c 8.5993
_cell_angle_alpha 90.00
_cell_angle_beta 90.00
_cell_angle_gamma 120.00
_symmetry_space_group_name_H-M 'P -3 m 1'
_symmetry_Int_Tables_number 164
_symmetry_space_group_name_Hall '-P 3 2"'
loop_
_atom_site_label
_atom_site_fract_x
_atom_site_fract_y
_atom_site_fract_z
Tc1 0.3333 0.6667 0.1126
Cl1 0.3333 0.6667 0.6826
```

***

# 13
Si2SbW at its PBEsol-relaxed geometry, computed with SCAN.

Total DFT energy (no corrections)   -30.821 eV/atom
Theoretical density   9.12 Mg/m³
Crystal system   tetragonal
Total magnetization   1.751 μB per cell
E_form (uncorrected)   0.9237 eV per atom

```
data_Si2SbW
_cell_length_a 4.046
_cell_length_b 4.046
_cell_length_c 8.051
_cell_angle_alpha 90.00
_cell_angle_beta 90.00
_cell_angle_gamma 90.00
_symmetry_space_group_name_H-M 'I -4 m 2'
_symmetry_Int_Tables_number 119
_symmetry_space_group_name_Hall 'I -4 -2'
loop_
_atom_site_label
_atom_site_fract_x
_atom_site_fract_y
_atom_site_fract_z
Si1 0.000 0.000 0.000
Si2 0.000 0.500 0.250
Sb1 0.000 0.500 0.750
W1 0.000 0.000 0.500
```

***

# 14
GaNi9B8 at its PBEsol-relaxed geometry, computed with SCAN.

Total DFT energy (no corrections)   -12.547 eV/atom
Theoretical density   7.52 Mg/m³
ΔH_f (0 K)   -0.25 eV per atom
Crystal system   orthorhombic
Total magnetization   0.001 μB per cell

```
data_GaNi9B8
_cell_length_a 7.063
_cell_length_b 8.026
_cell_length_c 10.671
_cell_angle_alpha 90.00
_cell_angle_beta 90.00
_cell_angle_gamma 90.00
_symmetry_space_group_name_H-M 'C m c m'
_symmetry_Int_Tables_number 63
_symmetry_space_group_name_Hall '-C 2c 2'
loop_
_atom_site_label
_atom_site_fract_x
_atom_site_fract_y
_atom_site_fract_z
Ga1 0.000 0.088 0.250
Ni1 0.000 0.000 0.000
Ni2 0.000 0.290 0.081
Ni3 0.191 0.430 0.614
Ni4 0.221 0.170 0.750
B1 0.000 0.220 0.619
B2 0.000 0.352 0.750
B3 0.000 0.433 0.250
B4 0.213 0.169 0.551
```

***

# 15
CsMn2V2ClO7 at its PBEsol-relaxed geometry, computed with SCAN.

Total DFT energy (no corrections)   -14.783 eV/atom
Theoretical density   3.88 Mg/m³
Crystal system   orthorhombic
Total magnetization   20.000 μB per cell
E_form (uncorrected)   -2.4065 eV per atom

```
data_CsMn2V2ClO7
_cell_length_a 14.763
_cell_length_b 5.449
_cell_length_c 5.242
_cell_angle_alpha 90.00
_cell_angle_beta 90.00
_cell_angle_gamma 90.00
_symmetry_space_group_name_H-M 'P m a 2'
_symmetry_Int_Tables_number 28
_symmetry_space_group_name_Hall 'P 2 -2a'
loop_
_atom_site_label
_atom_site_fract_x
_atom_site_fract_y
_atom_site_fract_z
Cs1 0.250 0.043 0.000
Mn1 0.000 0.000 0.598
Mn2 0.000 0.500 0.973
V1 0.135 0.521 0.496
Cl1 0.000 0.000 0.113
O1 0.067 0.324 0.670
O2 0.112 0.505 0.181
O3 0.118 0.813 0.598
O4 0.250 0.427 0.547
```

***

# 16
Zn2TcAs at its PBEsol-relaxed geometry, computed with SCAN.

Total DFT energy (no corrections)   -20.367 eV/atom
Theoretical density   8.82 Mg/m³
ΔH_f (0 K)   0.20 eV per atom
Crystal system   tetragonal
Total magnetization   0.999 μB per cell

```
data_Zn2TcAs
_cell_length_a 3.661
_cell_length_b 3.661
_cell_length_c 4.268
_cell_angle_alpha 90.00
_cell_angle_beta 90.00
_cell_angle_gamma 90.00
_symmetry_space_group_name_H-M 'P 4/m m m'
_symmetry_Int_Tables_number 123
_symmetry_space_group_name_Hall '-P 4 2'
loop_
_atom_site_label
_atom_site_fract_x
_atom_site_fract_y
_atom_site_fract_z
Zn1 0.000 0.500 0.000
Tc1 0.000 0.000 0.500
As1 0.500 0.500 0.500
```

***

# 17
CuHgBr at its PBEsol-relaxed geometry, computed with SCAN.

Total DFT energy (no corrections)   -34.277 eV/atom
Theoretical density   8.58 Mg/m³
Crystal system   orthorhombic
Total magnetization   0.000 μB per cell
E_form (uncorrected)   -0.0019 eV per atom

```
data_CuHgBr
_cell_length_a 3.668
_cell_length_b 6.050
_cell_length_c 12.006
_cell_angle_alpha 90.00
_cell_angle_beta 90.00
_cell_angle_gamma 90.00
_symmetry_space_group_name_H-M 'F m m 2'
_symmetry_Int_Tables_number 42
_symmetry_space_group_name_Hall 'F 2 -2'
loop_
_atom_site_label
_atom_site_fract_x
_atom_site_fract_y
_atom_site_fract_z
Cu1 0.000 0.000 0.000
Hg1 0.000 0.000 0.655
Br1 0.000 0.000 0.370
```

***

# 18
LiFeF3 at its PBEsol-relaxed geometry, computed with SCAN.

Total DFT energy (no corrections)   -8.840 eV/atom
Theoretical density   3.71 Mg/m³
Crystal system   trigonal
Total magnetization   48.000 μB per cell
E_form (uncorrected)   -2.6116 eV per atom

```
data_LiFeF3
_cell_length_a 8.4762
_cell_length_b 8.4762
_cell_length_c 10.3292
_cell_angle_alpha 90.00
_cell_angle_beta 90.00
_cell_angle_gamma 120.00
_symmetry_space_group_name_H-M 'R 3'
_symmetry_Int_Tables_number 146
_symmetry_space_group_name_Hall 'R 3'
loop_
_atom_site_label
_atom_site_fract_x
_atom_site_fract_y
_atom_site_fract_z
Li1 0.0000 0.0000 0.0000
Li2 0.0831 0.4070 0.1737
Fe1 0.0000 0.0000 0.7176
Fe2 0.1048 0.7137 0.9383
F1 0.0310 0.8346 0.5861
F2 0.0406 0.2179 0.3282
F3 0.0482 0.2015 0.8487
F4 0.0594 0.8382 0.0923
```

***

# 19
MgRe2Hg at its PBEsol-relaxed geometry, computed with SCAN.

Total DFT energy (no corrections)   -53.364 eV/atom
Theoretical density   15.34 Mg/m³
ΔH_f (0 K)   0.47 eV per atom
Crystal system   orthorhombic
Total magnetization   0.000 μB per cell

```
data_MgRe2Hg
_cell_length_a 4.382
_cell_length_b 4.624
_cell_length_c 6.383
_cell_angle_alpha 90.00
_cell_angle_beta 90.00
_cell_angle_gamma 90.00
_symmetry_space_group_name_H-M 'I m m 2'
_symmetry_Int_Tables_number 44
_symmetry_space_group_name_Hall 'I 2 -2'
loop_
_atom_site_label
_atom_site_fract_x
_atom_site_fract_y
_atom_site_fract_z
Mg1 0.000 0.000 0.000
Re1 0.000 0.000 0.518
Re2 0.000 0.500 0.241
Hg1 0.000 0.500 0.753
```

***

# 20
CrCdPt2 at its PBEsol-relaxed geometry, computed with SCAN.

Total DFT energy (no corrections)   -47.558 eV/atom
Theoretical density   14.72 Mg/m³
ΔH_f (0 K)   -0.26 eV per atom
Crystal system   orthorhombic
Total magnetization   3.518 μB per cell

```
data_CrCdPt2
_cell_length_a 2.836
_cell_length_b 3.915
_cell_length_c 5.635
_cell_angle_alpha 90.00
_cell_angle_beta 90.00
_cell_angle_gamma 90.00
_symmetry_space_group_name_H-M 'P m m 2'
_symmetry_Int_Tables_number 25
_symmetry_space_group_name_Hall 'P 2 -2'
loop_
_atom_site_label
_atom_site_fract_x
_atom_site_fract_y
_atom_site_fract_z
Cr1 0.000 0.000 0.000
Cd1 0.500 0.500 0.707
Pt1 0.000 0.000 0.466
Pt2 0.500 0.500 0.193
```